## one
The following is a DFT calculation (PBE-GGA) of a relaxed structure of Dy3Ho3Th.

Summary:
D(E_F) = 22.5 states/eV per cell

Structure (extended XYZ):
```
14
Lattice="9.526 0.000 0.000 -4.763 8.250 0.000 0.000 0.000 5.668" Properties=species:S:1:pos:R:3 pbc="T T T"
Dy -0.639 1.990 1.417
Dy -2.720 7.808 1.417
Dy 1.404 1.548 4.251
Dy 3.359 6.701 1.417
Dy 7.483 0.442 4.251
Dy 5.402 6.260 4.251
Ho -1.376 3.951 4.251
Ho -0.653 7.465 4.251
Ho 2.734 3.167 1.417
Ho 2.029 5.082 4.251
Ho 5.416 0.784 1.417
Ho 6.139 4.298 1.417
Th 0.000 5.500 1.417
Th 4.763 2.750 4.251
```

## two
The following is a DFT calculation (PBE-GGA) of a relaxed structure of Dy3Ho3Th.

Summary:
D(E_F) = 20.2 states/eV per cell

Structure (extended XYZ):
```
14
Lattice="4.417 -4.845 0.000 4.417 4.845 0.000 -0.214 0.000 10.527" Properties=species:S:1:pos:R:3 pbc="T T T"
Dy 0.194 0.000 2.658
Dy 2.539 1.729 7.928
Dy 2.539 -1.729 7.928
Dy 6.081 1.729 2.599
Dy 6.081 -1.729 2.599
Dy 8.426 0.000 7.869
Ho 4.417 3.072 0.000
Ho 4.310 3.005 5.264
Ho 2.759 0.000 4.612
Ho 5.861 0.000 5.915
Ho 4.310 -3.005 5.264
Ho 4.417 -3.072 0.000
Th 2.937 0.000 0.850
Th 5.683 0.000 9.677
```

Ranking the structures above by stability puts one first and two last.